# PBE+U VReF2, optimized geometry
data_VReF2
_chemical_formula_sum 'V4 Re4 F8'
_cell_length_a 4.8185
_cell_length_b 4.8185
_cell_length_c 9.9007
_cell_angle_alpha 90.00
_cell_angle_beta 90.00
_cell_angle_gamma 90.00
_space_group_name_H-M_alt 'I -4 2 d'
_space_group_IT_number 122
_space_group_name_Hall 'I -4 2bw'
loop_
_atom_site_label
_atom_site_fract_x
_atom_site_fract_y
_atom_site_fract_z
V1 0.0000 0.0000 0.0000
Re1 0.0000 0.0000 0.5000
F1 0.2076 0.2500 0.1250
# - polymorph energy (0 for the lowest one) (eV/atom) = 0.986
# - energy (Ry per atom) = -0.4241
# - M_tot (μB per cell) = 7.95